A plane-wave DFT calculation with GGA-PBE was carried out for an optimized crystal structure of Mg2TaCl.

Unit cell a=5.7035 b=5.7035 c=5.7035 alpha=148.91 beta=126.32 gamma=63.35
Positions (direct):
Mg: 0.2307 0.2307 0.0000
Mg: 0.7693 0.7693 0.0000
Ta: 0.5000 0.0000 0.5000
Cl: 0.0000 0.5000 0.5000

Relative energy among the computed polymorphs = 575 meV per atom
Electronic total energy = -3.90 eV per atom
ΔE_f (raw) = 0.32 eV/atom